DFT (PBE) results for Ba2DyBi2O6 after structural relaxation.

Calculated values
Total DFT energy (no corrections), eV per atom: -6.2175
Raw formation energy, eV/f.u.: -22.43

a = 11.0656 Å, b = 6.5082 Å, c = 7.1206 Å
α = 90.00°, β = 119.40°, γ = 90.00°
Space group C2/m (No. 12)
Asymmetric unit:
Ba 0.2081 0.0000 0.1361 [4 per cell]
Dy 0.0000 0.0000 0.5000 [2 per cell]
Bi 0.0657 0.5000 0.2658 [4 per cell]
O 0.0786 0.2433 0.7764 [8 per cell]
O 0.2053 0.0000 0.5023 [4 per cell]